# 1
VASP calculation (PBE-GGA) on a geometry-optimized P2Cl structure.

Cell lengths 6.6582, 6.6582, 6.6582 Å; angles 29.28, 29.28, 29.28 degrees
Closest atoms and distances in Å follow each position.
Atoms (fractional coordinates):
P: 0.0000 0.0000 0.0000  3 P 2.27
P: 0.2717 0.2717 0.2717  3 P 2.27
Cl: 0.5095 0.5095 0.5095  3 P 2.67

Results
Energy relative to the lowest polymorph listed for this composition = 0.61 eV/f.u.
Formation energy from raw total energies = -0.01 eV per atom
V = 62 Å³ per cell


# 2
VASP calculation (PBE-GGA) on a geometry-optimized P4Cl structure.

Cell lengths 4.5746, 4.5746, 4.5746 Å; angles 90.00, 90.00, 90.00 degrees
Closest atoms and distances in Å follow each position.
Atoms (fractional coordinates):
P: 0.0000 0.0000 0.0000  12 P 3.23
P: 0.0000 0.5000 0.5000  2 Cl 2.29
P: 0.5000 0.0000 0.5000  2 Cl 2.29
P: 0.5000 0.5000 0.0000  2 Cl 2.29
Cl: 0.5000 0.5000 0.5000  6 P 2.29

Results
Energy relative to the lowest polymorph listed for this composition = 1.96 eV/f.u.
Formation energy from raw total energies = 1.64 eV per atom
V = 96 Å³ per cell


# 3
VASP calculation (PBE-GGA) on a geometry-optimized PCl3 structure.

Cell lengths 9.1191, 10.2013, 6.4906 Å; angles 90.00, 90.00, 90.00 degrees
Closest atoms and distances in Å follow each position.
Atoms (fractional coordinates):
P: 0.0342 0.2500 0.0784  3 Cl 2.07
P: 0.4658 0.7500 0.5784  3 Cl 2.07
P: 0.5342 0.2500 0.4216  3 Cl 2.07
P: 0.9658 0.7500 0.9216  3 Cl 2.07
Cl: 0.1029 0.0942 0.2578  1 P 2.07
Cl: 0.1029 0.4058 0.2578  1 P 2.07
Cl: 0.1941 0.2500 0.8522  1 P 2.07
Cl: 0.3059 0.7500 0.3522  1 P 2.07
Cl: 0.3971 0.5942 0.7578  1 P 2.07
Cl: 0.3971 0.9058 0.7578  1 P 2.07
Cl: 0.6029 0.0942 0.2422  1 P 2.07
Cl: 0.6029 0.4058 0.2422  1 P 2.07
Cl: 0.6941 0.2500 0.6478  1 P 2.07
Cl: 0.8059 0.7500 0.1478  1 P 2.07
Cl: 0.8971 0.5942 0.7422  1 P 2.07
Cl: 0.8971 0.9058 0.7422  1 P 2.07

Results
Formation energy from raw total energies = -0.70 eV per atom
V = 604 Å³ per cell


# 4
VASP calculation (PBE-GGA) on a geometry-optimized PCl3 structure.

Cell lengths 4.8484, 4.8484, 4.8484 Å; angles 109.58, 109.58, 109.58 degrees
Closest atoms and distances in Å follow each position.
Atoms (fractional coordinates):
P: 0.0000 0.0000 0.0000  6 Cl 2.80
Cl: 0.0000 0.5000 0.5000  4 Cl 2.80, 2 P 2.80
Cl: 0.5000 0.0000 0.5000  2 P 2.80, 4 Cl 2.80
Cl: 0.5000 0.5000 0.0000  4 Cl 2.80, 2 P 2.80

Results
Formation energy from raw total energies = 0.67 eV per atom
V = 87 Å³ per cell


# 5
VASP calculation (PBE-GGA) on a geometry-optimized PCl structure.

Cell lengths 9.2188, 7.3841, 4.9042 Å; angles 90.00, 90.00, 90.00 degrees
Closest atoms and distances in Å follow each position.
Atoms (fractional coordinates):
P: 0.0000 0.1886 0.0000  1 Cl 2.27, 2 P 2.30
P: 0.2140 0.0290 0.9846  1 Cl 2.07, 1 P 2.30
P: 0.2860 0.9710 0.4846  1 Cl 2.07, 1 P 2.30
P: 0.5000 0.8114 0.5000  1 Cl 2.27, 2 P 2.30
P: 0.7140 0.9710 0.4846  1 Cl 2.07, 1 P 2.30
P: 0.7860 0.0290 0.9846  1 Cl 2.07, 1 P 2.30
Cl: 0.0000 0.2478 0.4540  1 P 2.27
Cl: 0.1788 0.7243 0.4827  1 P 2.07
Cl: 0.3212 0.2757 0.9827  1 P 2.07
Cl: 0.5000 0.7522 0.9540  1 P 2.27
Cl: 0.6788 0.2757 0.9827  1 P 2.07
Cl: 0.8212 0.7243 0.4827  1 P 2.07

Results
Energy relative to the lowest polymorph listed for this composition = 0.24 eV/f.u.
Formation energy from raw total energies = -0.24 eV per atom
V = 334 Å³ per cell


# 6
VASP calculation (PBE-GGA) on a geometry-optimized PaPCl structure.

Cell lengths 4.5550, 4.5550, 3.6088 Å; angles 90.00, 90.00, 120.00 degrees
Closest atoms and distances in Å follow each position.
Atoms (fractional coordinates):
Pa: 0.0000 0.0000 0.0000  3 Cl 2.63
P: 0.6667 0.3333 0.5008  6 Cl 3.19, 6 Pa 3.19
Cl: 0.3333 0.6667 0.0025  3 Pa 2.63

Results
Energy relative to the lowest polymorph listed for this composition = 1.58 eV/f.u.
Formation energy from raw total energies = -0.81 eV per atom
V = 65 Å³ per cell


# 7
VASP calculation (PBE-GGA) on a geometry-optimized PaPCl structure.

Cell lengths 6.9945, 6.9945, 6.9945 Å; angles 151.48, 151.48, 40.78 degrees
Closest atoms and distances in Å follow each position.
Atoms (fractional coordinates):
Pa: 0.0000 0.0000 0.0000  4 P 2.76, 4 Cl 3.06
P: 0.4017 0.4017 0.0000  4 Pa 2.76
Cl: 0.6415 0.6415 0.0000  4 Pa 3.06, 1 P 3.14

Results
Energy relative to the lowest polymorph listed for this composition = 0.98 eV/f.u.
Formation energy from raw total energies = -1.02 eV per atom
V = 78 Å³ per cell


# 8
VASP calculation (PBE-GGA) on a geometry-optimized Pa2PCl2 structure.

Cell lengths 10.3539, 10.3539, 10.3539 Å; angles 22.17, 22.17, 22.17 degrees
Closest atoms and distances in Å follow each position.
Atoms (fractional coordinates):
Pa: 0.1197 0.1197 0.1197  3 P 2.70, 3 Cl 2.87
Pa: 0.8803 0.8803 0.8803  3 P 2.70, 3 Cl 2.87
P: 0.5000 0.5000 0.5000  6 Pa 2.70
Cl: 0.2707 0.2707 0.2707  3 Pa 2.87
Cl: 0.7293 0.7293 0.7293  3 Pa 2.87

Results
Formation energy from raw total energies = -1.48 eV per atom
V = 139 Å³ per cell